Record 1
Entry from Alexandria via LeMat-Bulk: an optimized crystal structure of Mn2As2O7 (GGA-PBEsol).

a = 4.874 Å, b = 5.475 Å, c = 5.475 Å
α = 106.71°, β = 97.03°, γ = 97.04°
Element x y z (fractional)
Mn 0.000 0.000 0.000
Mn 0.000 0.386 0.614
As 0.409 0.922 0.536
As 0.605 0.446 0.061
O 0.213 0.085 0.378
O 0.213 0.765 0.700
O 0.261 0.318 0.932
O 0.586 0.717 0.334
O 0.704 0.121 0.736
O 0.790 0.287 0.236
O 0.790 0.622 0.902

Calculated values
- total moment (μB/cell) = 10.00
- DOS at the Fermi energy (states/eV/cell) = 1.27
- raw formation energy (eV/atom) = -1.2577
- space group = P1 (1)
- total DFT energy (no corrections) (eV/atom) = -7.301

---

Record 2
Entry from Alexandria via LeMat-Bulk: an optimized crystal structure of ScBPb3 (GGA-PBEsol).

a = 4.982 Å, b = 4.982 Å, c = 4.982 Å
α = 90.00°, β = 90.00°, γ = 90.00°
Element x y z (fractional)
Sc 0.000 0.000 0.000
B 0.500 0.500 0.500
Pb 0.000 0.500 0.500
Pb 0.500 0.000 0.500
Pb 0.500 0.500 0.000

Calculated values
- DFT formation energy (eV/atom) = 0.6310
- total moment (μB/cell) = 0.00
- DOS at the Fermi energy (states/eV/cell) = 3.51
- space group = Pm-3m (221)
- total DFT energy (no corrections) (eV/atom) = -4.493

---

Record 3
Entry from Alexandria via LeMat-Bulk: an optimized crystal structure of CuHg2W (GGA-PBEsol).

a = 2.807 Å, b = 4.296 Å, c = 5.743 Å
α = 90.00°, β = 103.39°, γ = 90.00°
Element x y z (fractional)
Cu 0.000 0.000 0.000
Hg 0.404 0.500 0.244
Hg 0.596 0.500 0.756
W 0.000 0.000 0.500

Calculated values
- DFT formation energy (eV/atom) = 0.6692
- total moment (μB/cell) = 0.00
- DOS at the Fermi energy (states/eV/cell) = 3.06
- space group = P2/m (10)
- total DFT energy (no corrections) (eV/atom) = -4.150

---

Record 4
Entry from Alexandria via LeMat-Bulk: an optimized crystal structure of ZrPb2 (GGA-PBEsol).

a = 5.807 Å, b = 5.807 Å, c = 5.807 Å
α = 145.12°, β = 138.67°, γ = 55.16°
Element x y z (fractional)
Zr 0.000 0.000 0.000
Pb 0.342 0.342 0.000
Pb 0.658 0.658 0.000

Calculated values
- DFT formation energy (eV/atom) = -0.0532
- total moment (μB/cell) = 0.00
- DOS at the Fermi energy (states/eV/cell) = 1.80
- space group = Immm (71)
- total DFT energy (no corrections) (eV/atom) = -5.749

---

Record 5
Entry from Alexandria via LeMat-Bulk: an optimized crystal structure of MgTiSbF2 (GGA-PBEsol).

a = 3.825 Å, b = 3.825 Å, c = 6.400 Å
α = 90.00°, β = 90.00°, γ = 90.00°
Element x y z (fractional)
Mg 0.000 0.000 0.000
Ti 0.500 0.500 0.500
Sb 0.000 0.000 0.500
F 0.000 0.500 0.000
F 0.500 0.000 0.000

Calculated values
- total moment (μB/cell) = 1.01
- DOS at the Fermi energy (states/eV/cell) = 2.53
- raw formation energy (eV/atom) = -1.7317
- space group = P4/mmm (123)
- total DFT energy (no corrections) (eV/atom) = -5.422

---

Record 6
Entry from Alexandria via LeMat-Bulk: an optimized crystal structure of ScAg (GGA-PBEsol).

a = 10.061 Å, b = 8.163 Å, c = 5.732 Å
α = 90.00°, β = 90.00°, γ = 90.00°
Element x y z (fractional)
Sc 0.123 0.250 0.000
Sc 0.123 0.250 0.500
Sc 0.176 0.632 0.250
Sc 0.176 0.868 0.750
Sc 0.367 0.044 0.250
Sc 0.367 0.456 0.750
Sc 0.633 0.544 0.250
Sc 0.633 0.956 0.750
Sc 0.824 0.132 0.250
Sc 0.824 0.368 0.750
Sc 0.877 0.750 0.000
Sc 0.877 0.750 0.500
Ag 0.071 0.547 0.750
Ag 0.071 0.953 0.250
Ag 0.363 0.112 0.750
Ag 0.363 0.388 0.250
Ag 0.421 0.750 0.000
Ag 0.421 0.750 0.500
Ag 0.579 0.250 0.000
Ag 0.579 0.250 0.500
Ag 0.637 0.612 0.750
Ag 0.637 0.888 0.250
Ag 0.929 0.047 0.750
Ag 0.929 0.453 0.250

Calculated values
- DFT formation energy (eV/atom) = -0.1981
- total moment (μB/cell) = 0.00
- DOS at the Fermi energy (states/eV/cell) = 26.97
- space group = Pbcm (57)
- total DFT energy (no corrections) (eV/atom) = -5.156

---

Record 7
Entry from Alexandria via LeMat-Bulk: an optimized crystal structure of Ca2LaCu2 (GGA-PBEsol).

a = 7.502 Å, b = 7.502 Å, c = 4.479 Å
α = 90.00°, β = 90.00°, γ = 90.00°
Element x y z (fractional)
Ca 0.166 0.334 0.000
Ca 0.334 0.834 0.000
Ca 0.666 0.166 0.000
Ca 0.834 0.666 0.000
La 0.000 0.000 0.500
La 0.500 0.500 0.500
Cu 0.116 0.616 0.500
Cu 0.384 0.116 0.500
Cu 0.616 0.884 0.500
Cu 0.884 0.384 0.500

Calculated values
- DFT formation energy (eV/atom) = -0.0288
- total moment (μB/cell) = 0.00
- DOS at the Fermi energy (states/eV/cell) = 9.34
- space group = P4/mbm (127)
- total DFT energy (no corrections) (eV/atom) = -3.685

---

Record 8
Entry from Alexandria via LeMat-Bulk: an optimized crystal structure of Cu5Ni24 (GGA-PBEsol).

a = 7.386 Å, b = 7.386 Å, c = 7.386 Å
α = 109.47°, β = 109.47°, γ = 109.47°
Element x y z (fractional)
Cu 0.000 0.000 0.000
Cu 0.000 0.000 0.356
Cu 0.000 0.356 0.000
Cu 0.356 0.000 0.000
Cu 0.644 0.644 0.644
Ni 0.000 0.318 0.594
Ni 0.000 0.594 0.318
Ni 0.000 0.624 0.810
Ni 0.000 0.810 0.624
Ni 0.186 0.376 0.376
Ni 0.190 0.190 0.814
Ni 0.190 0.814 0.190
Ni 0.276 0.682 0.682
Ni 0.318 0.000 0.594
Ni 0.318 0.594 0.000
Ni 0.376 0.186 0.376
Ni 0.376 0.376 0.186
Ni 0.406 0.406 0.724
Ni 0.406 0.724 0.406
Ni 0.594 0.000 0.318
Ni 0.594 0.318 0.000
Ni 0.624 0.000 0.810
Ni 0.624 0.810 0.000
Ni 0.682 0.276 0.682
Ni 0.682 0.682 0.276
Ni 0.724 0.406 0.406
Ni 0.810 0.000 0.624
Ni 0.810 0.624 0.000
Ni 0.814 0.190 0.190

Calculated values
- DFT formation energy (eV/atom) = 0.0988
- total moment (μB/cell) = 12.52
- DOS at the Fermi energy (states/eV/cell) = 51.11
- space group = I-43m (217)
- total DFT energy (no corrections) (eV/atom) = -5.744